1.
Computed, not measured: LiCoBO3 after structural relaxation at the GGA-PBEsol level of DFT.

Unit cell a=5.149 b=8.489 c=6.206 alpha=90.00 beta=112.01 gamma=90.00
Fractional positions:
Li  0.177  0.052  0.387
Li  0.177  0.448  0.887
Li  0.823  0.552  0.113
Li  0.823  0.948  0.613
Co  0.374  0.716  0.271
Co  0.374  0.784  0.771
Co  0.626  0.216  0.229
Co  0.626  0.284  0.729
B  0.185  0.127  0.808
B  0.185  0.373  0.308
B  0.815  0.627  0.692
B  0.815  0.873  0.192
O  0.083  0.635  0.701
O  0.083  0.865  0.201
O  0.263  0.501  0.209
O  0.263  0.999  0.709
O  0.374  0.248  0.399
O  0.374  0.252  0.899
O  0.626  0.748  0.101
O  0.626  0.752  0.601
O  0.737  0.001  0.291
O  0.737  0.499  0.791
O  0.917  0.135  0.799
O  0.917  0.365  0.299

Summary:
Calculated volume in Å³/cell: 251.5
Energy in eV/atom: -7.097
Formation energy without anion corrections in eV per atom: -1.6856
Symmetry: P2_1/c, No. 14
Offset from the most stable computed form in eV/f.u.: 0.36



2.
Computed, not measured: LaCeSn6 after structural relaxation at the GGA-PBEsol level of DFT.

Unit cell a=4.675 b=4.675 c=9.350 alpha=90.00 beta=90.00 gamma=90.00
Fractional positions:
La  0.000  0.000  0.000
Ce  0.000  0.000  0.500
Sn  0.000  0.500  0.255
Sn  0.000  0.500  0.745
Sn  0.500  0.000  0.255
Sn  0.500  0.000  0.745
Sn  0.500  0.500  0.000
Sn  0.500  0.500  0.500

Summary:
Calculated volume in Å³/cell: 204.4
Energy in eV/atom: -5.285
N(E_F) in states/eV per cell: 7.74
Symmetry: P4/mmm, No. 123
Formation energy from the elements in meV/atom: -598



3.
Computed, not measured: BaCoTe after structural relaxation at the GGA-PBEsol level of DFT.

Unit cell a=4.330 b=4.330 c=4.871 alpha=90.00 beta=90.00 gamma=120.00
Fractional positions:
Ba  0.000  0.000  0.000
Co  0.333  0.667  0.500
Te  0.667  0.333  0.500

Summary:
Calculated volume in Å³/cell: 79.1
Energy in eV/atom: -5.026
N(E_F) in states/eV per cell: 3.04
Formation energy without anion corrections in eV per atom: -0.5555
Symmetry: P-6m2, No. 187
Offset from the most stable computed form in eV/f.u.: 0.00